No. 1
Density functional theory data (PBE) for La3Pm4Ho2 after structural relaxation.

Cell lengths 11.7612, 5.8555, 9.2798 Å; angles 90.00, 102.04, 90.00 degrees
Closest atoms and distances in Å follow each position.
Space group C2/m (No. 12)
Symmetry-distinct sites (fractional):
La 0.0000 0.0000 0.0000 x2  2 La 3.50, 8 Pm 3.67-3.91
La 0.1210 0.0000 0.6862 x4  4 Pm 3.40-3.62, 1 La 3.50, 3 Ho 3.64-3.72
Pm 0.1792 0.5000 0.9597 x4  1 Ho 3.34, 3 Pm 3.37-3.48, 4 La 3.62-3.71
Pm 0.2277 0.0000 0.3724 x4  3 La 3.40-3.53, 3 Ho 3.46-3.50, 3 Pm 3.48-3.73
Ho 0.0616 0.5000 0.3052 x4  4 Pm 3.34-3.50, 3 La 3.64-3.72

Summary:
The value obtained for the formation energy is 9.5 kJ per mole of atoms. The calculation puts the magnetization at 0.002 μB/cell. The density of states at the Fermi level comes out at 27.25 states/eV per cell. The total energy is -42.1 eV per formula unit. The crystal system is monoclinic. For the offset from the most stable computed form, the calculation gives 25 meV per atom.

---

No. 2
Density functional theory data (PBE) for La4Pm5Ho2 after structural relaxation.

Cell lengths 3.5432, 9.5416, 23.1329 Å; angles 90.00, 90.00, 90.00 degrees
Closest atoms and distances in Å follow each position.
Space group Immm (No. 71)
Symmetry-distinct sites (fractional):
La 0.0000 0.0000 0.0932 x4  1 Ho 3.13, 4 La 3.44
La 0.0000 0.2895 0.5000 x4  4 Pm 3.28-3.62, 6 La 3.44-3.54
Pm 0.0000 0.2036 0.3477 x8  3 Ho 3.37-3.77, 2 Pm 3.54, 3 La 3.61-3.62
Pm 0.0000 0.5000 0.0000 x2  4 La 3.28, 2 Pm 3.54
Ho 0.0000 0.0000 0.2284 x4  1 La 3.13, 2 Pm 3.37

Summary:
The value obtained for the formation energy is 23.8 kJ per mole of atoms. The calculation puts the magnetization at 0.000 μB/cell. The density of states at the Fermi level comes out at 31.16 states/eV per cell. The total energy is -49.9 eV per formula unit. The crystal system is orthorhombic. For the offset from the most stable computed form, the calculation gives 169 meV per atom.

---

No. 3
Density functional theory data (PBE) for LaPmHo3 after structural relaxation.

Cell lengths 6.3040, 6.8170, 8.5560 Å; angles 103.02, 111.54, 90.10 degrees
Closest atoms and distances in Å follow each position.
Space group P-1 (No. 2)
Symmetry-distinct sites (fractional):
La 0.1818 0.4448 0.2025 x2  8 Ho 3.54-3.67, 3 Pm 3.55-3.65, 1 La 3.63
Pm 0.0178 0.9460 0.2019 x2  8 Ho 3.53-3.66, 3 La 3.55-3.65, 1 Pm 3.62
Ho 0.2185 0.3467 0.6001 x2  7 Ho 3.53-3.68, 2 Pm 3.53-3.65, 3 La 3.54-3.66
Ho 0.3804 0.8519 0.6005 x2  7 Ho 3.53-3.65, 3 Pm 3.54-3.66, 2 La 3.56-3.67
Ho 0.4172 0.7516 0.0017 x2  6 Ho 3.55-3.68, 3 Pm 3.60-3.64, 3 La 3.61-3.67

Summary:
The value obtained for the formation energy is 2.2 kJ per mole of atoms. The calculation puts the magnetization at 0.000 μB/cell. The density of states at the Fermi level comes out at 16.17 states/eV per cell. The total energy is -23.3 eV per formula unit. The crystal system is triclinic. For the offset from the most stable computed form, the calculation gives 0 meV per atom.

---

No. 4
Density functional theory data (PBE) for La4Pm3Ho2 after structural relaxation.

Cell lengths 13.0438, 3.7219, 14.6923 Å; angles 90.00, 115.65, 90.00 degrees
Closest atoms and distances in Å follow each position.
Space group C2/m (No. 12)
Symmetry-distinct sites (fractional):
La 0.2172 0.0000 0.1045 x4  5 Pm 3.48-3.73, 2 Ho 3.58, 2 La 3.72
La 0.2206 0.5000 0.3723 x4  4 Pm 3.63-4.06, 3 Ho 3.65-3.72, 4 La 3.72-3.96
Pm 0.0000 0.5000 0.5000 x2  4 Ho 3.41, 2 Pm 3.72, 4 La 3.79
Pm 0.0029 0.5000 0.8844 x4  3 Pm 3.43-3.72, 2 Ho 3.44, 6 La 3.48-3.73
Ho 0.0522 0.0000 0.7101 x4  4 Pm 3.41-3.44, 5 La 3.58-3.72, 2 Ho 3.72

Summary:
The value obtained for the formation energy is 8.4 kJ per mole of atoms. The calculation puts the magnetization at 0.000 μB/cell. The density of states at the Fermi level comes out at 28.88 states/eV per cell. The total energy is -42.3 eV per formula unit. The crystal system is monoclinic. For the offset from the most stable computed form, the calculation gives 63 meV per atom.

---

No. 5
Density functional theory data (PBE) for La2Pm8Ho after structural relaxation.

Cell lengths 18.6442, 5.1796, 8.1792 Å; angles 90.00, 105.26, 90.00 degrees
Closest atoms and distances in Å follow each position.
Space group C2/m (No. 12)
Symmetry-distinct sites (fractional):
La 0.2267 0.0000 0.1368 x4  10 Pm 3.66-3.70, 2 La 3.67
Pm 0.0442 0.0000 0.2287 x4  9 Pm 3.61-3.68, 2 Ho 3.64, 1 La 3.67
Pm 0.0894 0.5000 0.9513 x4  8 Pm 3.63-3.68, 1 Ho 3.63, 3 La 3.68
Pm 0.1348 0.0000 0.6769 x4  7 Pm 3.61-3.69, 2 Ho 3.63, 3 La 3.69-3.70
Pm 0.1805 0.5000 0.4078 x4  1 Ho 3.64, 8 Pm 3.64-3.69, 3 La 3.66-3.67
Ho 0.0000 0.5000 0.5000 x2  12 Pm 3.63-3.64

Summary:
The value obtained for the formation energy is 1.8 kJ per mole of atoms. The calculation puts the magnetization at 0.000 μB/cell. The density of states at the Fermi level comes out at 36.31 states/eV per cell. The total energy is -52.2 eV per formula unit. The crystal system is monoclinic. For the offset from the most stable computed form, the calculation gives 0 meV per atom.

---

No. 6
Density functional theory data (PBE) for LaPm2Ho after structural relaxation.

Cell lengths 6.3151, 3.6424, 12.0911 Å; angles 90.00, 100.05, 90.00 degrees
Closest atoms and distances in Å follow each position.
Space group Cm (No. 8)
Symmetry-distinct sites (fractional):
La 0.0000 0.0000 0.0000 x2  6 La 3.64-3.65, 6 Pm 3.72-3.73
Pm 0.2462 0.0000 0.7414 x2  3 Ho 3.56, 6 Pm 3.64-3.65, 3 La 3.73
Pm 0.4175 0.0000 0.2581 x2  3 Ho 3.56-3.57, 6 Pm 3.64-3.65, 3 La 3.72-3.73
Ho 0.3334 0.5000 0.5001 x2  6 Pm 3.56-3.57, 6 Ho 3.64-3.65

Summary:
The value obtained for the formation energy is 2.0 kJ per mole of atoms. The calculation puts the magnetization at 0.000 μB/cell. The density of states at the Fermi level comes out at 11.71 states/eV per cell. The total energy is -18.9 eV per formula unit. The crystal system is monoclinic. For the offset from the most stable computed form, the calculation gives 1 meV per atom.

---

No. 7
Density functional theory data (PBE) for LaPmHo3 after structural relaxation.

Cell lengths 9.5760, 7.3965, 9.5705 Å; angles 90.00, 90.00, 90.00 degrees
Closest atoms and distances in Å follow each position.
Space group Pnma (No. 62)
Symmetry-distinct sites (fractional):
La 0.0000 0.0000 0.0000 x4  2 La 3.70, 8 Ho 3.80-4.00, 4 Pm 3.99
Pm 0.1737 0.2500 0.3266 x4  8 Ho 3.32-3.70
Ho 0.1228 0.0005 0.6228 x8  3 Pm 3.32-3.42, 6 Ho 3.32-3.71
Ho 0.1723 0.7500 0.3267 x4  6 Ho 3.33-3.42, 2 Pm 3.70

Summary:
The value obtained for the formation energy is 8.3 kJ per mole of atoms. The calculation puts the magnetization at 0.071 μB/cell. The density of states at the Fermi level comes out at 25.96 states/eV per cell. The total energy is -23.0 eV per formula unit. The crystal system is orthorhombic. For the offset from the most stable computed form, the calculation gives 63 meV per atom.

---

No. 8
Density functional theory data (PBE) for La2Pm3Ho after structural relaxation.

Cell lengths 6.7574, 18.2290, 3.4550 Å; angles 90.00, 90.00, 90.00 degrees
Closest atoms and distances in Å follow each position.
Space group Pnnm (No. 58)
Symmetry-distinct sites (fractional):
La 0.2303 0.1841 0.0000 x4  4 Pm 3.42-3.55, 2 La 3.46, 1 Ho 3.70
Pm 0.0000 0.5000 0.0000 x2  6 Pm 3.46-3.52, 4 Ho 3.79
Pm 0.2252 0.3540 0.5000 x4  1 Ho 3.25, 4 La 3.42-3.55, 4 Pm 3.46-3.52
Ho 0.0000 0.0000 0.0000 x2  2 Pm 3.25, 2 Ho 3.46

Summary:
The value obtained for the formation energy is 22.6 kJ per mole of atoms. The calculation puts the magnetization at 0.000 μB/cell. The density of states at the Fermi level comes out at 22.17 states/eV per cell. The total energy is -27.3 eV per formula unit. The crystal system is orthorhombic. For the offset from the most stable computed form, the calculation gives 181 meV per atom.

---

No. 9
Density functional theory data (PBE) for La12Pm3Ho after structural relaxation.

Cell lengths 5.2301, 5.2301, 20.9293 Å; angles 90.00, 90.00, 90.00 degrees
Closest atoms and distances in Å follow each position.
Space group P4/mmm (No. 123)
Symmetry-distinct sites (fractional):
La 0.0000 0.0000 0.0000 x1  8 La 3.68, 4 Ho 3.70
La 0.0000 0.0000 0.2493 x2  4 Pm 3.70, 8 La 3.70-3.71
La 0.0000 0.0000 0.5000 x1  4 Pm 3.70, 8 La 3.71
La 0.0000 0.5000 0.1238 x4  8 La 3.68-3.71, 2 Ho 3.68, 2 Pm 3.70
La 0.0000 0.5000 0.3743 x4  8 La 3.70-3.71, 4 Pm 3.70-3.71
Pm 0.5000 0.5000 0.2489 x2  12 La 3.70
Pm 0.5000 0.5000 0.5000 x1  12 La 3.70-3.71
Ho 0.5000 0.5000 0.0000 x1  12 La 3.68-3.70

Summary:
The value obtained for the formation energy is 0.7 kJ per mole of atoms. The calculation puts the magnetization at 0.000 μB/cell. The density of states at the Fermi level comes out at 25.22 states/eV per cell. The total energy is -77.8 eV per formula unit. The crystal system is tetragonal.

---

No. 10
Density functional theory data (PBE) for La3Pm4Ho5 after structural relaxation.

Cell lengths 16.1934, 6.0291, 9.4327 Å; angles 90.00, 116.38, 90.00 degrees
Closest atoms and distances in Å follow each position.
Space group C2/m (No. 12)
Symmetry-distinct sites (fractional):
La 0.0000 0.0000 0.0000 x2  2 Ho 3.01
La 0.2095 0.5000 0.2315 x4  3 Ho 3.11-3.31, 2 Pm 3.30-3.44
Pm 0.0838 0.5000 0.4446 x4  2 Pm 3.31-3.67, 1 La 3.44, 3 Ho 3.47-3.55
Pm 0.2065 0.5000 0.8790 x4  3 La 3.30-3.64, 3 Pm 3.66-3.67, 2 Ho 3.67
Ho 0.0000 0.5000 0.0000 x2  4 La 3.01-3.11
Ho 0.0713 0.0000 0.6964 x4  2 La 3.31-3.53, 2 Ho 3.38-3.65, 2 Pm 3.67
Ho 0.1716 0.0000 0.3881 x4  4 La 3.23-3.53, 3 Pm 3.47-3.55

Summary:
The value obtained for the formation energy is 22.0 kJ per mole of atoms. The calculation puts the magnetization at 0.006 μB/cell. The density of states at the Fermi level comes out at 38.72 states/eV per cell. The total energy is -53.9 eV per formula unit. The crystal system is monoclinic. For the offset from the most stable computed form, the calculation gives 206 meV per atom.

---

No. 11
Density functional theory data (PBE) for La11Pm9Ho4 after structural relaxation.

Cell lengths 17.3776, 26.4116, 3.7186 Å; angles 90.00, 90.00, 90.00 degrees
Closest atoms and distances in Å follow each position.
Space group Cmmm (No. 65)
Symmetry-distinct sites (fractional):
La 0.0000 0.0000 0.0000 x2  8 Pm 3.63, 2 La 3.72
La 0.0000 0.1619 0.0000 x4  4 La 3.72-3.90, 8 Pm 3.81-3.85
La 0.0000 0.3697 0.0000 x4  4 Ho 3.41, 4 Pm 3.71, 2 La 3.72
La 0.2082 0.5000 0.0000 x4  4 Ho 3.38, 2 La 3.72, 4 Pm 3.77
La 0.2224 0.1805 0.0000 x8  2 Ho 3.47, 6 Pm 3.64-3.81, 3 La 3.72-3.80
Pm 0.0000 0.5000 0.5000 x2  2 Pm 3.72, 4 Ho 3.85, 8 La 3.91-4.07
Pm 0.1024 0.2685 0.5000 x8  3 Pm 3.56-3.72, 1 Ho 3.56, 8 La 3.64-3.81
Pm 0.1400 0.0736 0.5000 x8  1 Ho 3.58, 8 La 3.63-3.85, 3 Pm 3.72-3.89
Ho 0.1584 0.3981 0.5000 x8  6 La 3.38-3.47, 2 Pm 3.56-3.58, 2 Ho 3.72

Summary:
The value obtained for the formation energy is 6.1 kJ per mole of atoms. The calculation puts the magnetization at 0.007 μB/cell. The density of states at the Fermi level comes out at 75.31 states/eV per cell. The total energy is -113.8 eV per formula unit. The crystal system is orthorhombic.

---

No. 12
Density functional theory data (PBE) for La4Pm5Ho2 after structural relaxation.

Cell lengths 17.9886, 3.5938, 11.8901 Å; angles 90.00, 94.18, 90.00 degrees
Closest atoms and distances in Å follow each position.
Space group C2/m (No. 12)
Symmetry-distinct sites (fractional):
La 0.0401 0.0000 0.2630 x4  5 Pm 3.36-3.63, 4 La 3.59-3.75, 2 Ho 3.76
La 0.1415 0.5000 0.7952 x4  6 Pm 3.48-3.79, 4 La 3.59-3.75, 2 Ho 3.73
Pm 0.0000 0.5000 0.0000 x2  6 Pm 3.59-3.74, 6 La 3.63-3.65
Pm 0.0965 0.0000 0.5389 x4  4 La 3.36-3.58, 3 Ho 3.48-3.60, 3 Pm 3.53-3.59
Pm 0.1791 0.0000 0.0737 x4  4 La 3.48-3.79, 6 Pm 3.59-3.74, 2 Ho 3.89
Ho 0.2166 0.5000 0.3623 x4  5 Pm 3.48-3.89, 4 Ho 3.59-3.85, 4 La 3.73-3.76

Summary:
The value obtained for the formation energy is 7.5 kJ per mole of atoms. The calculation puts the magnetization at 0.000 μB/cell. The density of states at the Fermi level comes out at 36.55 states/eV per cell. The total energy is -51.8 eV per formula unit. The crystal system is monoclinic. For the offset from the most stable computed form, the calculation gives 0 meV per atom.

---

Question: Among the records above, which one has the highest total energy?
Answer: LaPm2Ho

---

Question: Among the records above, which one has the highest magnetization?
Answer: number 7

---

Question: Among the records above, which one has the highest magnetization?
Answer: number 7